(1)
VASP calculation (SCAN) on a crystal of Y3ReAs relaxed with PBEsol.

The value obtained for the calculated formation energy is 0.3957 eV/atom. As for the total magnetic moment: 0.16 μB per atom. For the uncorrected energy, the calculation gives -172.8 eV/cell.

It has space group Pm-3m (No. 221), with a = 5.182 Å, b = 5.182 Å, c = 5.182 Å, α = 90.00°, β = 90.00° and γ = 90.00°. Symmetry generates all atoms from Y at (0.000, 0.000, 0.500), Re at (0.500, 0.500, 0.500) and As at (0.000, 0.000, 0.000).

=====

(2)
VASP calculation (SCAN) on a crystal of YReAs relaxed with PBEsol.

The value obtained for the calculated formation energy is 1.0420 eV/atom. As for the total magnetic moment: 0.08 μB per atom. For the uncorrected energy, the calculation gives -464.0 eV/cell. The excess energy over the best structure of this formula in the dataset comes out at 1387 meV/atom.

It has space group F-43m (No. 216), with a = 6.460 Å, b = 6.460 Å, c = 6.460 Å, α = 90.00°, β = 90.00° and γ = 90.00°. Symmetry generates all atoms from Y at (0.000, 0.000, 0.000), Re at (0.250, 0.250, 0.750) and As at (0.250, 0.250, 0.250).

=====

(3)
VASP calculation (SCAN) on a crystal of YReAs relaxed with PBEsol.

The value obtained for the calculated formation energy is -0.3449 eV/atom. As for the total magnetic moment: 0.00 μB per atom. For the uncorrected energy, the calculation gives -120.2 eV/cell. The excess energy over the best structure of this formula in the dataset comes out at 0 meV/atom.

It has space group P-6m2 (No. 187), with a = 4.2934 Å, b = 4.2934 Å, c = 3.5990 Å, α = 90.00°, β = 90.00° and γ = 120.00°. Symmetry generates all atoms from Y at (0.0000, 0.0000, 0.0000), Re at (0.6667, 0.3333, 0.5000) and As at (0.3333, 0.6667, 0.5000).

=====

(4)
VASP calculation (SCAN) on a crystal of YReAs relaxed with PBEsol.

The value obtained for the calculated formation energy is -0.0536 eV/atom. As for the total magnetic moment: 0.00 μB per atom. For the uncorrected energy, the calculation gives -119.3 eV/cell. The excess energy over the best structure of this formula in the dataset comes out at 291 meV/atom.

It has space group P3m1 (No. 156), with a = 3.4773 Å, b = 3.4773 Å, c = 5.7114 Å, α = 90.00°, β = 90.00° and γ = 120.00°. Symmetry generates all atoms from Y at (0.0000, 0.0000, 0.0000), Re at (0.6667, 0.3333, 0.3978) and As at (0.3333, 0.6667, 0.6458).

=====

(5)
VASP calculation (SCAN) on a crystal of Zn2ReAs relaxed with PBEsol.

The value obtained for the calculated formation energy is 0.3315 eV/atom. As for the total magnetic moment: 0.17 μB per atom. For the uncorrected energy, the calculation gives -234.0 eV/cell.

It has space group I4/mmm (No. 139), with a = 3.650 Å, b = 3.650 Å, c = 8.581 Å, α = 90.00°, β = 90.00° and γ = 90.00°. Symmetry generates all atoms from Zn at (0.000, 0.500, 0.250), Re at (0.000, 0.000, 0.000) and As at (0.000, 0.000, 0.500).

=====

(6)
VASP calculation (SCAN) on a crystal of Zn2ReAs relaxed with PBEsol.

The value obtained for the calculated formation energy is 0.1312 eV/atom. As for the total magnetic moment: 0.00 μB per atom. For the uncorrected energy, the calculation gives -117.8 eV/cell.

It has space group P4mm (No. 99), with a = 3.238 Å, b = 3.238 Å, c = 5.472 Å, α = 90.00°, β = 90.00° and γ = 90.00°. Symmetry generates all atoms from Zn at (0.000, 0.000, 0.000), Zn at (0.500, 0.500, 0.221), Re at (0.500, 0.500, 0.725) and As at (0.000, 0.000, 0.504).

=====

(7)
VASP calculation (SCAN) on a crystal of Zn2ReAs relaxed with PBEsol.

The value obtained for the calculated formation energy is 0.2874 eV/atom. As for the total magnetic moment: 0.00 μB per atom. For the uncorrected energy, the calculation gives -234.3 eV/cell.

It has space group Imm2 (No. 44), with a = 3.280 Å, b = 4.309 Å, c = 8.201 Å, α = 90.00°, β = 90.00° and γ = 90.00°. Symmetry generates all atoms from Zn at (0.000, 0.000, 0.000), Zn at (0.000, 0.500, 0.259), Re at (0.000, 0.000, 0.494) and As at (0.000, 0.500, 0.760).

=====

(8)
VASP calculation (SCAN) on a crystal of ZrRe2As relaxed with PBEsol.

The value obtained for the calculated formation energy is -0.0022 eV/atom. As for the total magnetic moment: 0.00 μB per atom. For the uncorrected energy, the calculation gives -386.2 eV/cell.

It has space group I4/mmm (No. 139), with a = 3.708 Å, b = 3.708 Å, c = 9.493 Å, α = 90.00°, β = 90.00° and γ = 90.00°. Symmetry generates all atoms from Zr at (0.000, 0.000, 0.000), Re at (0.000, 0.500, 0.250) and As at (0.000, 0.000, 0.500).

=====

(9)
VASP calculation (SCAN) on a crystal of ZrRe2As relaxed with PBEsol.

The value obtained for the calculated formation energy is -0.0198 eV/atom. As for the total magnetic moment: 0.00 μB per atom. For the uncorrected energy, the calculation gives -386.3 eV/cell.

It has space group Imm2 (No. 44), with a = 3.193 Å, b = 4.359 Å, c = 9.094 Å, α = 90.00°, β = 90.00° and γ = 90.00°. Symmetry generates all atoms from Zr at (0.000, 0.000, 0.000), Re at (0.000, 0.000, 0.491), Re at (0.000, 0.500, 0.236) and As at (0.000, 0.500, 0.761).

=====

(10)
VASP calculation (SCAN) on a crystal of ZrRe2As relaxed with PBEsol.

The value obtained for the calculated formation energy is 0.1147 eV/atom. As for the total magnetic moment: 0.00 μB per atom. For the uncorrected energy, the calculation gives -385.3 eV/cell.

It has space group I-4m2 (No. 119), with a = 3.842 Å, b = 3.842 Å, c = 8.572 Å, α = 90.00°, β = 90.00° and γ = 90.00°. Symmetry generates all atoms from Zr at (0.000, 0.000, 0.000), Re at (0.000, 0.000, 0.500), Re at (0.000, 0.500, 0.750) and As at (0.000, 0.500, 0.250).

=====

(11)
VASP calculation (SCAN) on a crystal of Zr2ReAs relaxed with PBEsol.

The value obtained for the calculated formation energy is -0.3932 eV/atom. As for the total magnetic moment: 0.00 μB per atom. For the uncorrected energy, the calculation gives -308.5 eV/cell.

It has space group I4/mmm (No. 139), with a = 4.319 Å, b = 4.319 Å, c = 7.581 Å, α = 90.00°, β = 90.00° and γ = 90.00°. Symmetry generates all atoms from Zr at (0.000, 0.500, 0.250), Re at (0.000, 0.000, 0.000) and As at (0.000, 0.000, 0.500).

=====

(12)
VASP calculation (SCAN) on a crystal of ZrRe2As relaxed with PBEsol.

The value obtained for the calculated formation energy is 0.0575 eV/atom. As for the total magnetic moment: 0.00 μB per atom. For the uncorrected energy, the calculation gives -192.9 eV/cell.

It has space group P4/mmm (No. 123), with a = 3.201 Å, b = 3.201 Å, c = 6.211 Å, α = 90.00°, β = 90.00° and γ = 90.00°. Symmetry generates all atoms from Zr at (0.000, 0.000, 0.000), Re at (0.500, 0.500, 0.269) and As at (0.000, 0.000, 0.500).

=====

(13)
VASP calculation (SCAN) on a crystal of Zr2ReAs relaxed with PBEsol.

The value obtained for the calculated formation energy is -0.0789 eV/atom. As for the total magnetic moment: 0.18 μB per atom. For the uncorrected energy, the calculation gives -612.0 eV/cell.

It has space group F-43m (No. 216), with a = 6.510 Å, b = 6.510 Å, c = 6.510 Å, α = 90.00°, β = 90.00° and γ = 90.00°. Symmetry generates all atoms from Zr at (0.000, 0.000, 0.000), Zr at (0.250, 0.250, 0.250), Re at (0.000, 0.000, 0.500) and As at (0.250, 0.250, 0.750).

=====

(14)
VASP calculation (SCAN) on a crystal of Zr2ReAs relaxed with PBEsol.

The value obtained for the calculated formation energy is -0.6228 eV/atom. As for the total magnetic moment: 0.00 μB per atom. For the uncorrected energy, the calculation gives -155.2 eV/cell.

It has space group P4/mmm (No. 123), with a = 3.393 Å, b = 3.393 Å, c = 6.181 Å, α = 90.00°, β = 90.00° and γ = 90.00°. Symmetry generates all atoms from Zr at (0.000, 0.000, 0.249), Re at (0.500, 0.500, 0.000) and As at (0.500, 0.500, 0.500).

=====

(15)
VASP calculation (SCAN) on a crystal of ZrRe2As relaxed with PBEsol.

The value obtained for the calculated formation energy is 0.2960 eV/atom. As for the total magnetic moment: 0.00 μB per atom. For the uncorrected energy, the calculation gives -383.8 eV/cell.

It has space group Cmmm (No. 65), with a = 3.231 Å, b = 4.905 Å, c = 8.245 Å, α = 90.00°, β = 90.00° and γ = 90.00°. Symmetry generates all atoms from Zr at (0.000, 0.000, 0.000), Re at (0.000, 0.500, 0.269) and As at (0.000, 0.000, 0.500).